# 1
First-principles (GGA-PBE) data for a geometry-optimized SrCdP2 structure, as listed in Alexandria.

The space group is P2/m (No. 10) and the conventional cell measures 4.502, 4.042 and 5.685 Å, with angles of 90.00, 92.93 and 90.00 degrees. The distinct sites, in fractional coordinates, are Sr at (0.000, 0.000, 0.000), Cd at (0.500, 0.000, 0.500) and P at (0.445, 0.500, 0.807).

The calculation puts the density of states at the Fermi level at 1.349 states/eV/cell. The density comes out at 4.210 Mg/m³. The crystal system is monoclinic.

---

# 2
First-principles (GGA-PBE) data for a geometry-optimized SrCd4P structure, as listed in Alexandria.

The space group is F-43m (No. 216) and the conventional cell measures 8.454, 8.454 and 8.454 Å, with angles of 90.00, 90.00 and 90.00 degrees. The distinct sites, in fractional coordinates, are Sr at (0.000, 0.000, 0.000), Cd at (0.124, 0.124, 0.624) and P at (0.250, 0.250, 0.250).

The calculation puts the density of states at the Fermi level at 12.721 states/eV/cell. The density comes out at 6.246 Mg/m³. The crystal system is cubic.

---

# 3
First-principles (GGA-PBE) data for a geometry-optimized SrCdP2 structure, as listed in Alexandria.

The space group is Cm (No. 8) and the conventional cell measures 11.576, 4.301 and 4.281 Å, with angles of 90.00, 111.57 and 90.00 degrees. The distinct sites, in fractional coordinates, are Sr at (0.000, 0.000, 0.000), Cd at (0.248, 0.500, 0.270), P at (0.099, 0.500, 0.618) and P at (0.393, 0.000, 0.352).

The calculation puts the density of states at the Fermi level at 1.670 states/eV/cell. The density comes out at 4.389 Mg/m³. The crystal system is monoclinic.

---

# 4
First-principles (GGA-PBE) data for a geometry-optimized SrCdP2 structure, as listed in Alexandria.

The space group is I-42d (No. 122) and the conventional cell measures 7.699, 7.699 and 6.441 Å, with angles of 90.00, 90.00 and 90.00 degrees. The distinct sites, in fractional coordinates, are Sr at (0.000, 0.000, 0.000), Cd at (0.000, 0.000, 0.500) and P at (0.205, 0.750, 0.625).

The calculation puts the density of states at the Fermi level at 3.365 states/eV/cell. The density comes out at 4.557 Mg/m³. The crystal system is tetragonal.

---

# 5
First-principles (GGA-PBE) data for a geometry-optimized SrCdP3 structure, as listed in Alexandria.

The space group is Pm-3m (No. 221) and the conventional cell measures 5.040, 5.040 and 5.040 Å, with angles of 90.00, 90.00 and 90.00 degrees. The distinct sites, in fractional coordinates, are Sr at (0.000, 0.000, 0.000), Cd at (0.500, 0.500, 0.500) and P at (0.000, 0.500, 0.500).

The energy above the lowest structure with this stoichiometry is 0.0000 eV per atom. The calculation puts the density of states at the Fermi level at 4.033 states/eV/cell. The density comes out at 3.800 Mg/m³. The crystal system is cubic.

---

# 6
First-principles (GGA-PBE) data for a geometry-optimized SrCdP2 structure, as listed in Alexandria.

The space group is Pm (No. 6) and the conventional cell measures 3.307, 5.377 and 5.378 Å, with angles of 90.00, 90.05 and 90.00 degrees. The distinct sites, in fractional coordinates, are Sr at (0.000, 0.000, 0.000), Cd at (0.506, 0.500, 0.505), P at (0.500, 0.000, 0.500) and P at (0.500, 0.500, 0.005).

The calculation puts the density of states at the Fermi level at 1.982 states/eV/cell. The density comes out at 4.550 Mg/m³. The crystal system is monoclinic.

---

# 7
First-principles (GGA-PBE) data for a geometry-optimized Sr2Cd2P structure, as listed in Alexandria.

The space group is P4/mbm (No. 127) and the conventional cell measures 7.776, 7.776 and 4.894 Å, with angles of 90.00, 90.00 and 90.00 degrees. The distinct sites, in fractional coordinates, are Sr at (0.180, 0.320, 0.000), Cd at (0.129, 0.629, 0.500) and P at (0.000, 0.000, 0.500).

The energy above the lowest structure with this stoichiometry is 0.1923 eV per atom. The calculation puts the density of states at the Fermi level at 5.892 states/eV/cell. The density comes out at 4.837 Mg/m³. The crystal system is tetragonal.

---

# 8
First-principles (GGA-PBE) data for a geometry-optimized SrCdP2 structure, as listed in Alexandria.

The space group is P4mm (No. 99) and the conventional cell measures 3.529, 3.529 and 7.305 Å, with angles of 90.00, 90.00 and 90.00 degrees. The distinct sites, in fractional coordinates, are Sr at (0.000, 0.000, 0.000), Cd at (0.500, 0.500, 0.331), P at (0.000, 0.000, 0.609) and P at (0.500, 0.500, 0.702).

The calculation puts the density of states at the Fermi level at 0.628 states/eV/cell. The density comes out at 4.781 Mg/m³. The crystal system is tetragonal.

---

# 9
First-principles (GGA-PBE) data for a geometry-optimized SrCdP2 structure, as listed in Alexandria.

The space group is P4/mmm (No. 123) and the conventional cell measures 4.662, 4.662 and 4.045 Å, with angles of 90.00, 90.00 and 90.00 degrees. The distinct sites, in fractional coordinates, are Sr at (0.000, 0.000, 0.000), Cd at (0.500, 0.500, 0.000) and P at (0.000, 0.500, 0.500).

The calculation puts the density of states at the Fermi level at 1.955 states/eV/cell. The density comes out at 4.949 Mg/m³. The crystal system is tetragonal.

---

# 10
First-principles (GGA-PBE) data for a geometry-optimized SrCdP3 structure, as listed in Alexandria.

The space group is Pm-3m (No. 221) and the conventional cell measures 5.468, 5.468 and 5.468 Å, with angles of 90.00, 90.00 and 90.00 degrees. The distinct sites, in fractional coordinates, are Sr at (0.000, 0.000, 0.000), Cd at (0.500, 0.500, 0.500) and P at (0.000, 0.000, 0.500).

The energy above the lowest structure with this stoichiometry is 0.8522 eV per atom. The calculation puts the density of states at the Fermi level at 4.205 states/eV/cell. The density comes out at 2.976 Mg/m³. The crystal system is cubic.

---

# 11
First-principles (GGA-PBE) data for a geometry-optimized SrCdP2 structure, as listed in Alexandria.

The space group is C2/m (No. 12) and the conventional cell measures 6.665, 5.176 and 6.425 Å, with angles of 90.00, 120.06 and 90.00 degrees. The distinct sites, in fractional coordinates, are Sr at (0.000, 0.000, 0.000), Cd at (0.000, 0.500, 0.500) and P at (0.186, 0.000, 0.659).

The calculation puts the density of states at the Fermi level at 1.118 states/eV/cell. The density comes out at 4.535 Mg/m³. The crystal system is monoclinic.

---

# 12
First-principles (GGA-PBE) data for a geometry-optimized SrCdP2 structure, as listed in Alexandria.

The space group is Imm2 (No. 44) and the conventional cell measures 3.694, 5.059 and 10.180 Å, with angles of 90.00, 90.00 and 90.00 degrees. The distinct sites, in fractional coordinates, are Sr at (0.000, 0.000, 0.000), Cd at (0.000, 0.500, 0.789), P at (0.000, 0.000, 0.549) and P at (0.000, 0.500, 0.191).

The calculation puts the density of states at the Fermi level at 1.819 states/eV/cell. The density comes out at 4.574 Mg/m³. The crystal system is orthorhombic.

---

# 13
First-principles (GGA-PBE) data for a geometry-optimized Sr4Cd2P structure, as listed in Alexandria.

The space group is I4/mmm (No. 139) and the conventional cell measures 5.812, 5.812 and 16.951 Å, with angles of 90.00, 90.00 and 90.00 degrees. The distinct sites, in fractional coordinates, are Sr at (0.000, 0.000, 0.178), Sr at (0.000, 0.500, 0.000), Cd at (0.000, 0.000, 0.377) and P at (0.000, 0.000, 0.000).

The calculation puts the density of states at the Fermi level at 16.160 states/eV/cell. The density comes out at 3.517 Mg/m³. The crystal system is tetragonal.

---

# 14
First-principles (GGA-PBE) data for a geometry-optimized SrCdP2 structure, as listed in Alexandria.

The space group is F-43m (No. 216) and the conventional cell measures 7.135, 7.135 and 7.135 Å, with angles of 90.00, 90.00 and 90.00 degrees. The distinct sites, in fractional coordinates, are Sr at (0.000, 0.000, 0.000), Cd at (0.250, 0.250, 0.750), P at (0.000, 0.000, 0.500) and P at (0.250, 0.250, 0.250).

The calculation puts the density of states at the Fermi level at 15.182 states/eV/cell. The density comes out at 4.790 Mg/m³. The crystal system is cubic.

---

# 15
First-principles (GGA-PBE) data for a geometry-optimized Sr2Cd2P structure, as listed in Alexandria.

The space group is I4/mmm (No. 139) and the conventional cell measures 3.974, 3.974 and 19.270 Å, with angles of 90.00, 90.00 and 90.00 degrees. The distinct sites, in fractional coordinates, are Sr at (0.000, 0.000, 0.083), Cd at (0.000, 0.500, 0.250) and P at (0.000, 0.000, 0.500).

The energy above the lowest structure with this stoichiometry is 0.0000 eV per atom. The calculation puts the density of states at the Fermi level at 5.227 states/eV/cell. The density comes out at 4.704 Mg/m³. The crystal system is tetragonal.

---

# 16
First-principles (GGA-PBE) data for a geometry-optimized Sr3CdP structure, as listed in Alexandria.

The space group is Pm-3m (No. 221) and the conventional cell measures 5.876, 5.876 and 5.876 Å, with angles of 90.00, 90.00 and 90.00 degrees. The distinct sites, in fractional coordinates, are Sr at (0.000, 0.000, 0.500), Cd at (0.500, 0.500, 0.500) and P at (0.000, 0.000, 0.000).

The energy above the lowest structure with this stoichiometry is 0.0000 eV per atom. The calculation puts the density of states at the Fermi level at 3.989 states/eV/cell. The density comes out at 3.324 Mg/m³. The crystal system is cubic.

---

# 17
First-principles (GGA-PBE) data for a geometry-optimized SrCdP2 structure, as listed in Alexandria.

The space group is R-3m (No. 166, hexagonal axes) and the conventional cell measures 4.3765, 4.3765 and 17.2773 Å, with angles of 90.00, 90.00 and 120.00 degrees. The distinct sites, in fractional coordinates, are Sr at (0.0000, 0.0000, 0.0000), Cd at (0.0000, 0.0000, 0.5000) and P at (0.0000, 0.0000, 0.2346).

The calculation puts the density of states at the Fermi level at 13.227 states/eV/cell. The density comes out at 4.554 Mg/m³. The crystal system is trigonal.

---

# 18
First-principles (GGA-PBE) data for a geometry-optimized SrCdP4 structure, as listed in Alexandria.

The space group is F-43m (No. 216) and the conventional cell measures 8.025, 8.025 and 8.025 Å, with angles of 90.00, 90.00 and 90.00 degrees. The distinct sites, in fractional coordinates, are Sr at (0.000, 0.000, 0.000), Cd at (0.250, 0.250, 0.750) and P at (0.104, 0.104, 0.396).

The calculation puts the density of states at the Fermi level at 16.630 states/eV/cell. The density comes out at 4.163 Mg/m³. The crystal system is cubic.

---

# 19
First-principles (GGA-PBE) data for a geometry-optimized SrCdP2 structure, as listed in Alexandria.

The space group is Pmm2 (No. 25) and the conventional cell measures 3.395, 4.895 and 5.897 Å, with angles of 90.00, 90.00 and 90.00 degrees. The distinct sites, in fractional coordinates, are Sr at (0.000, 0.000, 0.000), Cd at (0.500, 0.500, 0.497), P at (0.000, 0.000, 0.500) and P at (0.500, 0.500, 0.997).

The calculation puts the density of states at the Fermi level at 3.456 states/eV/cell. The density comes out at 4.439 Mg/m³. The crystal system is orthorhombic.

---

# 20
First-principles (GGA-PBE) data for a geometry-optimized Sr4U3CdP8 structure, as listed in Alexandria.

The space group is R-3m (No. 166, hexagonal axes) and the conventional cell measures 8.2222, 8.2222 and 20.7740 Å, with angles of 90.00, 90.00 and 120.00 degrees. The distinct sites, in fractional coordinates, are Sr at (0.0000, 0.0000, 0.0000), Sr at (0.0000, 0.5000, 0.0000), U at (0.0000, 0.5000, 0.5000), Cd at (0.0000, 0.0000, 0.5000), P at (0.0000, 0.0000, 0.2373) and P at (0.0141, 0.5071, 0.7621).

The calculation puts the density of states at the Fermi level at 58.149 states/eV/cell. The density comes out at 5.835 Mg/m³. The crystal system is trigonal.

---

The following E_form values (in meV/atom) correspond, in order, to the records above: -448, 33, -501, -268, 364, -190, -249, -122, -194, 1216, -389, -291, -394, 133, -442, -534, -194, -10, -68, -868.
The following magnetic moment values (in μB/atom) correspond, in order, to the records above: 0.00, 0.00, 0.00, 0.00, 0.00, 0.00, 0.00, 0.00, 0.00, 0.00, 0.00, 0.00, 0.05, 0.00, 0.00, 0.00, 0.13, 0.00, 0.00, 0.25.